# 1
Here is SmTmTc after structural relaxation from Alexandria. Energies are from PBE.

Properties
For the energy above the most stable polymorph in this dataset, the calculation gives 0.000 eV/atom. For the formation energy, the calculation gives -0.05 eV per formula unit.

The structure in POSCAR format:
```
SmTmTc
1.0
-0.9933 1.0858 -3.1526
-3.3263 -0.0945 1.0155
2.5749 5.4348 2.9803
Tm Tc Sm
1 1 1
Direct
0.2952 0.2952 0.5905
0.6703 0.6703 0.3405
0.0345 0.0345 0.0690
```



# 2
Here is Pr8NiSe4S3 after structural relaxation from Alexandria. Energies are from PBE.

Properties
The value obtained for the uncorrected formation energy is -27.577 eV/f.u.

The structure in POSCAR format:
```
Pr8NiSe4S3
1.0
8.3511 0.0000 0.0000
0.0000 8.4408 0.0570
-4.1756 -4.1712 5.9085
Pr Ni Se S
8 1 4 3
Direct
0.2407 0.7320 0.9912
0.2408 0.7320 0.4816
0.2558 0.2675 0.5117
0.7505 0.7320 0.9912
0.2495 0.2680 0.0088
0.7442 0.7325 0.4883
0.7592 0.2680 0.5184
0.7593 0.2680 0.0088
0.0000 0.5000 0.0000
0.5000 0.0000 0.0000
0.5000 0.0000 0.5000
0.0000 0.0000 0.0000
0.0000 0.0000 0.5000
0.5000 0.5000 0.0000
0.5000 0.5000 0.5000
0.0000 0.5000 0.5000
```